[1]
Material: Al3NiN
Method: DFT, meta-GGA SCAN
State: PBEsol geometry

a = 3.881 Å, b = 3.881 Å, c = 3.881 Å
α = 90.00°, β = 90.00°, γ = 90.00°
Sites, in units of the cell vectors:
Ni 0.500 0.500 0.500
Al 0.000 0.500 0.000
Al 0.000 0.000 0.500
Al 0.500 0.000 0.000
N 0.000 0.000 0.000

## Properties
The uncorrected formation energy comes out at -0.339 eV/atom. The density of states at the Fermi level comes out at 0.27 states/eV/atom. Its total magnetization is 0.00 μB per formula unit. The space group is Pm-3m.


[2]
Material: Ni2PAu
Method: DFT, meta-GGA SCAN
State: PBEsol geometry

a = 2.760 Å, b = 3.308 Å, c = 5.634 Å
α = 90.00°, β = 90.00°, γ = 90.00°
Sites, in units of the cell vectors:
Au 0.500 0.500 0.769
Ni 0.000 0.000 0.036
Ni 0.500 0.500 0.273
P 0.000 0.000 0.421

## Properties
Its energy relative to the elements is 0.0183 eV/atom. The density of states at the Fermi level comes out at 0.62 states/eV/atom. Its total magnetization is 0.00 μB per formula unit. The space group is Pmm2.


[3]
Material: Ta2CrP
Method: DFT, meta-GGA SCAN
State: PBEsol geometry

a = 3.231 Å, b = 3.880 Å, c = 4.913 Å
α = 90.00°, β = 109.20°, γ = 90.00°
Sites, in units of the cell vectors:
Cr 0.707 0.000 0.413
P 0.547 0.500 0.093
Ta 0.978 0.000 0.957
Ta 0.267 0.500 0.533

## Properties
Its energy relative to the elements is -0.3538 eV/atom. The density of states at the Fermi level comes out at 0.66 states/eV/atom. Its total magnetization is 0.00 μB per formula unit. The space group is Amm2.


[4]
Material: Ba3ZrIr2O9
Method: DFT, meta-GGA SCAN
State: PBEsol geometry

a = 5.784 Å, b = 5.784 Å, c = 14.369 Å
α = 90.00°, β = 90.00°, γ = 120.00°
Sites, in units of the cell vectors:
Ba 0.333 0.667 0.406
Ba 0.667 0.333 0.594
Ba 0.667 0.333 0.906
Ba 0.333 0.667 0.094
Ba 0.000 0.000 0.250
Ba 0.000 0.000 0.750
Zr 0.000 0.000 0.500
Zr 0.000 0.000 0.000
Ir 0.333 0.667 0.838
Ir 0.667 0.333 0.162
Ir 0.667 0.333 0.338
Ir 0.333 0.667 0.662
O 0.660 0.830 0.918
O 0.340 0.170 0.082
O 0.170 0.340 0.918
O 0.340 0.170 0.418
O 0.830 0.660 0.082
O 0.660 0.830 0.582
O 0.170 0.830 0.918
O 0.830 0.660 0.418
O 0.830 0.170 0.082
O 0.170 0.340 0.582
O 0.830 0.170 0.418
O 0.170 0.830 0.582
O 0.985 0.492 0.250
O 0.015 0.508 0.750
O 0.508 0.015 0.250
O 0.492 0.985 0.750
O 0.508 0.492 0.250
O 0.492 0.508 0.750

## Properties
The uncorrected formation energy comes out at -2.441 eV/atom. The density of states at the Fermi level comes out at 0.21 states/eV/atom. Its total magnetization is 0.00 μB per formula unit. The space group is P6_3/mmc.


[5]
Material: LaPSe4
Method: DFT, meta-GGA SCAN
State: PBEsol geometry

a = 5.634 Å, b = 5.634 Å, c = 5.634 Å
α = 60.00°, β = 60.00°, γ = 60.00°
Sites, in units of the cell vectors:
La 0.750 0.750 0.750
P 0.000 0.000 0.000
Se 0.374 0.374 0.374
Se 0.374 0.374 0.877
Se 0.877 0.374 0.374
Se 0.374 0.877 0.374

## Properties
The uncorrected formation energy comes out at -0.047 eV/atom. The density of states at the Fermi level comes out at 0.98 states/eV/atom. Its total magnetization is 0.00 μB per formula unit. The space group is F-43m.


[6]
Material: GaNiAu3
Method: DFT, meta-GGA SCAN
State: PBEsol geometry

a = 4.699 Å, b = 4.699 Å, c = 4.699 Å
α = 90.00°, β = 90.00°, γ = 90.00°
Sites, in units of the cell vectors:
Ni 0.000 0.000 0.000
Au 0.000 0.500 0.000
Au 0.000 0.000 0.500
Au 0.500 0.000 0.000
Ga 0.500 0.500 0.500

## Properties
Its energy relative to the elements is 0.6100 eV/atom. The density of states at the Fermi level comes out at 0.93 states/eV/atom. Its total magnetization is 0.05 μB per formula unit. The space group is Pm-3m.


[7]
Material: Ba4Sm2Cu2O9
Method: DFT, meta-GGA SCAN
State: PBEsol geometry

a = 3.836 Å, b = 11.863 Å, c = 11.863 Å
α = 90.00°, β = 90.00°, γ = 90.00°
Sites, in units of the cell vectors:
Ba 0.257 0.172 0.113
Ba 0.243 0.613 0.672
Ba 0.257 0.828 0.887
Ba 0.743 0.887 0.172
Ba 0.743 0.113 0.828
Ba 0.757 0.328 0.613
Ba 0.757 0.672 0.387
Ba 0.243 0.387 0.328
Sm 0.250 0.390 0.890
Sm 0.250 0.610 0.110
Sm 0.750 0.890 0.610
Sm 0.750 0.110 0.390
Cu 0.750 0.403 0.097
Cu 0.250 0.097 0.597
Cu 0.750 0.597 0.903
Cu 0.250 0.903 0.403
O 0.249 0.975 0.708
O 0.751 0.292 0.975
O 0.251 0.208 0.475
O 0.750 0.243 0.257
O 0.251 0.792 0.525
O 0.250 0.743 0.243
O 0.250 0.257 0.757
O 0.751 0.708 0.025
O 0.250 0.592 0.908
O 0.250 0.408 0.092
O 0.500 0.000 0.000
O 0.750 0.908 0.408
O 0.749 0.525 0.208
O 0.750 0.092 0.592
O 0.000 0.500 0.500
O 0.750 0.757 0.743
O 0.749 0.475 0.792
O 0.249 0.025 0.292

## Properties
The uncorrected formation energy comes out at -2.635 eV/atom. The density of states at the Fermi level comes out at 0.12 states/eV/atom. Its total magnetization is 0.00 μB per formula unit. The space group is P-4n2.


[8]
Material: LaMnMo2
Method: DFT, meta-GGA SCAN
State: PBEsol geometry

a = 2.889 Å, b = 3.460 Å, c = 7.345 Å
α = 90.00°, β = 96.67°, γ = 90.00°
Sites, in units of the cell vectors:
La 0.500 0.500 0.000
Mn 0.500 0.500 0.500
Mo 0.937 0.000 0.665
Mo 0.063 0.000 0.335

## Properties
Its energy relative to the elements is 0.5148 eV/atom. The density of states at the Fermi level comes out at 0.98 states/eV/atom. Its total magnetization is 1.25 μB per formula unit. The space group is P2/m.